(1)
PrSnTe2 | Alexandria via LeMat-Bulk | PBE-GGA | optimized geometry; total energy = -4.536 eV per atom; raw formation energy = -0.769 eV per atom; symmetry = Cmcm, No. 63
1.0
2.0869 -12.4143 0.0000
2.0869 12.4143 0.0000
0.0000 0.0000 5.0324
Pr Sn Te
2 2 4
direct
0.0552 0.9448 0.7500
0.9448 0.0552 0.2500
0.3117 0.6883 0.7500
0.6883 0.3117 0.2500
0.1852 0.8148 0.7500
0.4432 0.5568 0.7500
0.5568 0.4432 0.2500
0.8148 0.1852 0.2500

(2)
PaTaCo5B2 | Alexandria via LeMat-Bulk | PBE-GGA | optimized geometry; total energy = -7.908 eV per atom; symmetry = P4/mmm, No. 123; formation energy = -10.1 kJ per mole of atoms
1.0
3.6862 0.0000 0.0000
0.0000 3.6862 0.0000
0.0000 0.0000 8.6198
Pa Ta Co B
1 1 5 2
direct
0.0000 0.0000 0.0000
0.0000 0.0000 0.5000
0.0000 0.5000 0.3035
0.0000 0.5000 0.6965
0.5000 0.0000 0.3035
0.5000 0.0000 0.6965
0.5000 0.5000 0.0000
0.5000 0.5000 0.2280
0.5000 0.5000 0.7720

(3)
LiLaY2 | Alexandria via LeMat-Bulk | PBE-GGA | optimized geometry; total energy = -4.773 eV per atom; symmetry = Cmmm, No. 65; formation energy = 16.4 kJ per mole of atoms
1.0
1.9067 -2.8669 0.0000
1.9067 2.8669 0.0000
0.0000 0.0000 11.4529
Li La Y
1 1 2
direct
0.0000 0.0000 0.0000
0.0000 0.0000 0.5000
0.5000 0.5000 0.2313
0.5000 0.5000 0.7687

(4)
KBaPt | Alexandria via LeMat-Bulk | PBE-GGA | optimized geometry; total energy = -3.319 eV per atom; symmetry = I4mm, No. 107; formation energy = -28.8 kJ per mole of atoms
1.0
-1.9904 1.9904 7.8961
1.9904 -1.9904 7.8961
1.9904 1.9904 -7.8961
K Ba Pt
1 1 1
direct
0.0000 0.0000 0.0000
0.2313 0.2313 0.0000
0.6384 0.6384 0.0000

(5)
PmZn9Ni2 | Alexandria via LeMat-Bulk | PBE-GGA | optimized geometry; total energy = -2.589 eV per atom; symmetry = I4_1/amd, No. 141; formation energy = -26.5 kJ per mole of atoms
1.0
-5.2132 5.2132 3.3773
5.2132 -5.2132 3.3773
5.2132 5.2132 -3.3773
Pm Zn Ni
2 18 4
direct
0.3750 0.6250 0.7500
0.6250 0.3750 0.2500
0.1250 0.8750 0.2500
0.1394 0.5644 0.3314
0.1394 0.8081 0.5750
0.1919 0.2669 0.3314
0.1919 0.8606 0.9250
0.2669 0.1919 0.8314
0.2669 0.4356 0.0750
0.4356 0.2669 0.5750
0.4356 0.8606 0.1686
0.5644 0.1394 0.8314
0.5644 0.7331 0.4250
0.7331 0.5644 0.9250
0.7331 0.8081 0.1686
0.8081 0.1394 0.0750
0.8081 0.7331 0.6686
0.8606 0.1919 0.4250
0.8606 0.4356 0.6686
0.8750 0.1250 0.7500
0.0000 0.0000 0.0000
0.0000 0.0000 0.5000
0.0000 0.5000 0.0000
0.5000 0.0000 0.5000

(6)
Re2PRu | Alexandria via LeMat-Bulk | PBE-GGA | optimized geometry; total energy = -9.429 eV per atom; symmetry = Cmmm, No. 65; formation energy = 45.0 kJ per mole of atoms
1.0
1.4528 -2.3782 0.0000
1.4528 2.3782 0.0000
0.0000 0.0000 8.3245
Re P Ru
2 1 1
direct
0.0000 0.0000 0.2283
0.0000 0.0000 0.7717
0.5000 0.5000 0.0000
0.5000 0.5000 0.5000

Computed magnetic moment, in the same sequence as the records: 0.44; 0.00; 0.00; 0.00; 0.00; 0.00 μB/f.u..